VASP calculation (PBE-GGA) on a geometry-optimized CdFe4Os structure.

Structure (CIF):
```
data_CdFe4Os
_chemical_formula_sum 'Cd1 Fe4 Os1'
_symmetry_space_group_name_H-M 'P 1'
_symmetry_Int_Tables_number 1
_symmetry_space_group_name_Hall 'P 1'
_cell_length_a 4.820
_cell_length_b 4.820
_cell_length_c 4.820
_cell_angle_alpha 60.00
_cell_angle_beta 60.00
_cell_angle_gamma 60.00
loop_
_atom_site_label
_atom_site_type_symbol
_atom_site_fract_x
_atom_site_fract_y
_atom_site_fract_z
Cd1 Cd 0.000 0.000 0.000
Fe1 Fe 0.126 0.625 0.625
Fe2 Fe 0.625 0.126 0.625
Fe3 Fe 0.625 0.625 0.126
Fe4 Fe 0.625 0.625 0.625
Os1 Os 0.250 0.250 0.250
```

Values from the calculation:
Calculated formation energy (meV/atom): 283


VASP calculation (PBE-GGA) on a geometry-optimized CdFeOs2 structure.

Structure (CIF):
```
data_CdFeOs2
_chemical_formula_sum 'Cd1 Fe1 Os2'
_symmetry_space_group_name_H-M 'P 1'
_symmetry_Int_Tables_number 1
_symmetry_space_group_name_Hall 'P 1'
_cell_length_a 2.750
_cell_length_b 4.278
_cell_length_c 5.359
_cell_angle_alpha 90.00
_cell_angle_beta 104.24
_cell_angle_gamma 90.00
loop_
_atom_site_label
_atom_site_type_symbol
_atom_site_fract_x
_atom_site_fract_y
_atom_site_fract_z
Cd1 Cd 0.000 0.000 0.000
Fe1 Fe 0.500 0.000 0.500
Os1 Os 0.338 0.500 0.720
Os2 Os 0.662 0.500 0.280
```

Values from the calculation:
Calculated formation energy (meV/atom): 559
E above lowest polymorph (eV per formula unit): 1.03


VASP calculation (PBE-GGA) on a geometry-optimized CdFeOs2 structure.

Structure (CIF):
```
data_CdFeOs2
_chemical_formula_sum 'Cd2 Fe2 Os4'
_symmetry_space_group_name_H-M 'P 1'
_symmetry_Int_Tables_number 1
_symmetry_space_group_name_Hall 'P 1'
_cell_length_a 5.706
_cell_length_b 5.706
_cell_length_c 5.706
_cell_angle_alpha 101.01
_cell_angle_beta 101.01
_cell_angle_gamma 128.18
loop_
_atom_site_label
_atom_site_type_symbol
_atom_site_fract_x
_atom_site_fract_y
_atom_site_fract_z
Cd1 Cd 0.000 0.000 0.000
Cd2 Cd 0.750 0.250 0.500
Fe1 Fe 0.250 0.750 0.500
Fe2 Fe 0.500 0.500 0.000
Os1 Os 0.187 0.625 0.062
Os2 Os 0.375 0.437 0.562
Os3 Os 0.563 0.125 0.938
Os4 Os 0.875 0.813 0.438
```

Values from the calculation:
Calculated formation energy (meV/atom): 931
E above lowest polymorph (eV per formula unit): 2.51


VASP calculation (PBE-GGA) on a geometry-optimized CdFeOs2 structure.

Structure (CIF):
```
data_CdFeOs2
_chemical_formula_sum 'Cd1 Fe1 Os2'
_symmetry_space_group_name_H-M 'P 1'
_symmetry_Int_Tables_number 1
_symmetry_space_group_name_Hall 'P 1'
_cell_length_a 4.389
_cell_length_b 4.389
_cell_length_c 4.389
_cell_angle_alpha 60.00
_cell_angle_beta 60.00
_cell_angle_gamma 60.00
loop_
_atom_site_label
_atom_site_type_symbol
_atom_site_fract_x
_atom_site_fract_y
_atom_site_fract_z
Cd1 Cd 0.000 0.000 0.000
Fe1 Fe 0.500 0.500 0.500
Os1 Os 0.250 0.250 0.250
Os2 Os 0.750 0.750 0.750
```

Values from the calculation:
Calculated formation energy (meV/atom): 736
E above lowest polymorph (eV per formula unit): 1.73


VASP calculation (PBE-GGA) on a geometry-optimized CdFeOs2 structure.

Structure (CIF):
```
data_CdFeOs2
_chemical_formula_sum 'Cd1 Fe1 Os2'
_symmetry_space_group_name_H-M 'P 1'
_symmetry_Int_Tables_number 1
_symmetry_space_group_name_Hall 'P 1'
_cell_length_a 2.717
_cell_length_b 2.717
_cell_length_c 9.341
_cell_angle_alpha 90.00
_cell_angle_beta 90.00
_cell_angle_gamma 117.06
loop_
_atom_site_label
_atom_site_type_symbol
_atom_site_fract_x
_atom_site_fract_y
_atom_site_fract_z
Cd1 Cd 0.000 0.000 0.000
Fe1 Fe 0.500 0.500 0.743
Os1 Os 0.000 0.000 0.516
Os2 Os 0.500 0.500 0.275
```

Values from the calculation:
Calculated formation energy (meV/atom): 567
E above lowest polymorph (eV per formula unit): 1.06


VASP calculation (PBE-GGA) on a geometry-optimized CdFeOs2 structure.

Structure (CIF):
```
data_CdFeOs2
_chemical_formula_sum 'Cd1 Fe1 Os2'
_symmetry_space_group_name_H-M 'P 1'
_symmetry_Int_Tables_number 1
_symmetry_space_group_name_Hall 'P 1'
_cell_length_a 5.269
_cell_length_b 5.269
_cell_length_c 5.269
_cell_angle_alpha 147.68
_cell_angle_beta 128.46
_cell_angle_gamma 62.16
loop_
_atom_site_label
_atom_site_type_symbol
_atom_site_fract_x
_atom_site_fract_y
_atom_site_fract_z
Cd1 Cd 0.000 0.000 0.000
Fe1 Fe 0.256 0.756 0.500
Os1 Os 0.488 0.488 0.000
Os2 Os 0.728 0.228 0.500
```

Values from the calculation:
Calculated formation energy (meV/atom): 621
E above lowest polymorph (eV per formula unit): 1.27


VASP calculation (PBE-GGA) on a geometry-optimized CdFeOs2 structure.

Structure (CIF):
```
data_CdFeOs2
_chemical_formula_sum 'Cd1 Fe1 Os2'
_symmetry_space_group_name_H-M 'P 1'
_symmetry_Int_Tables_number 1
_symmetry_space_group_name_Hall 'P 1'
_cell_length_a 4.721
_cell_length_b 4.721
_cell_length_c 4.721
_cell_angle_alpha 130.33
_cell_angle_beta 130.33
_cell_angle_gamma 72.87
loop_
_atom_site_label
_atom_site_type_symbol
_atom_site_fract_x
_atom_site_fract_y
_atom_site_fract_z
Cd1 Cd 0.000 0.000 0.000
Fe1 Fe 0.250 0.750 0.500
Os1 Os 0.500 0.500 0.000
Os2 Os 0.750 0.250 0.500
```

Values from the calculation:
Calculated formation energy (meV/atom): 613
E above lowest polymorph (eV per formula unit): 1.24


VASP calculation (PBE-GGA) on a geometry-optimized CdFe2Os structure.

Structure (CIF):
```
data_CdFe2Os
_chemical_formula_sum 'Cd1 Fe2 Os1'
_symmetry_space_group_name_H-M 'P 1'
_symmetry_Int_Tables_number 1
_symmetry_space_group_name_Hall 'P 1'
_cell_length_a 4.715
_cell_length_b 4.715
_cell_length_c 2.698
_cell_angle_alpha 90.00
_cell_angle_beta 90.00
_cell_angle_gamma 107.71
loop_
_atom_site_label
_atom_site_type_symbol
_atom_site_fract_x
_atom_site_fract_y
_atom_site_fract_z
Cd1 Cd 0.000 0.000 0.000
Fe1 Fe 0.000 0.500 0.500
Fe2 Fe 0.500 0.000 0.500
Os1 Os 0.500 0.500 0.000
```

Values from the calculation:
Calculated formation energy (meV/atom): 391
E above lowest polymorph (eV per formula unit): 0.48


VASP calculation (PBE-GGA) on a geometry-optimized CdFe2Os structure.

Structure (CIF):
```
data_CdFe2Os
_chemical_formula_sum 'Cd1 Fe2 Os1'
_symmetry_space_group_name_H-M 'P 1'
_symmetry_Int_Tables_number 1
_symmetry_space_group_name_Hall 'P 1'
_cell_length_a 4.826
_cell_length_b 4.826
_cell_length_c 4.826
_cell_angle_alpha 133.53
_cell_angle_beta 133.53
_cell_angle_gamma 67.83
loop_
_atom_site_label
_atom_site_type_symbol
_atom_site_fract_x
_atom_site_fract_y
_atom_site_fract_z
Cd1 Cd 0.000 0.000 0.000
Fe1 Fe 0.250 0.750 0.500
Fe2 Fe 0.500 0.500 0.000
Os1 Os 0.750 0.250 0.500
```

Values from the calculation:
Calculated formation energy (meV/atom): 521
E above lowest polymorph (eV per formula unit): 1.00


VASP calculation (PBE-GGA) on a geometry-optimized CdFe2Os structure.

Structure (CIF):
```
data_CdFe2Os
_chemical_formula_sum 'Cd1 Fe2 Os1'
_symmetry_space_group_name_H-M 'P 1'
_symmetry_Int_Tables_number 1
_symmetry_space_group_name_Hall 'P 1'
_cell_length_a 2.718
_cell_length_b 2.718
_cell_length_c 7.692
_cell_angle_alpha 90.00
_cell_angle_beta 90.00
_cell_angle_gamma 90.00
loop_
_atom_site_label
_atom_site_type_symbol
_atom_site_fract_x
_atom_site_fract_y
_atom_site_fract_z
Cd1 Cd 0.000 0.000 0.000
Fe1 Fe 0.500 0.500 0.276
Fe2 Fe 0.500 0.500 0.724
Os1 Os 0.000 0.000 0.500
```

Values from the calculation:
Calculated formation energy (meV/atom): 272
E above lowest polymorph (eV per formula unit): 0.00


VASP calculation (PBE-GGA) on a geometry-optimized CdFe2Os structure.

Structure (CIF):
```
data_CdFe2Os
_chemical_formula_sum 'Cd1 Fe2 Os1'
_symmetry_space_group_name_H-M 'P 1'
_symmetry_Int_Tables_number 1
_symmetry_space_group_name_Hall 'P 1'
_cell_length_a 2.747
_cell_length_b 2.747
_cell_length_c 7.610
_cell_angle_alpha 90.00
_cell_angle_beta 90.00
_cell_angle_gamma 90.00
loop_
_atom_site_label
_atom_site_type_symbol
_atom_site_fract_x
_atom_site_fract_y
_atom_site_fract_z
Cd1 Cd 0.000 0.000 0.000
Fe1 Fe 0.000 0.000 0.501
Fe2 Fe 0.500 0.500 0.279
Os1 Os 0.500 0.500 0.703
```

Values from the calculation:
Calculated formation energy (meV/atom): 317
E above lowest polymorph (eV per formula unit): 0.18


VASP calculation (PBE-GGA) on a geometry-optimized CdFe2Os structure.

Structure (CIF):
```
data_CdFe2Os
_chemical_formula_sum 'Cd1 Fe2 Os1'
_symmetry_space_group_name_H-M 'P 1'
_symmetry_Int_Tables_number 1
_symmetry_space_group_name_Hall 'P 1'
_cell_length_a 2.727
_cell_length_b 3.731
_cell_length_c 5.706
_cell_angle_alpha 90.00
_cell_angle_beta 90.00
_cell_angle_gamma 90.00
loop_
_atom_site_label
_atom_site_type_symbol
_atom_site_fract_x
_atom_site_fract_y
_atom_site_fract_z
Cd1 Cd 0.000 0.000 0.000
Fe1 Fe 0.500 0.500 0.290
Fe2 Fe 0.500 0.500 0.710
Os1 Os 0.000 0.000 0.500
```

Values from the calculation:
Calculated formation energy (meV/atom): 341
E above lowest polymorph (eV per formula unit): 0.28